Record 1
Material: NdH5Os
Method: DFT, GGA-PBE
State: relaxed

Calculated values
* Fermi-level density of states: 1.795 states/eV/f.u.

Cell lengths 3.669, 5.096, 6.929 Å; angles 90.00, 90.00, 90.00 degrees
Element x y z (fractional)
Nd1 0.000 0.000 0.000
Nd2 0.500 0.500 0.500
H1 0.000 0.247 0.333
H2 0.000 0.247 0.667
H3 0.000 0.500 0.000
H4 0.000 0.753 0.333
H5 0.000 0.753 0.667
H6 0.500 0.000 0.500
H7 0.500 0.253 0.167
H8 0.500 0.253 0.833
H9 0.500 0.747 0.167
H10 0.500 0.747 0.833
Os1 0.000 0.000 0.500
Os2 0.500 0.500 0.000

Record 2
Material: Nd2HOs
Method: DFT, GGA-PBE
State: relaxed

Calculated values
* Fermi-level density of states: 2.357 states/eV/f.u.
* E above lowest polymorph: 0 meV/atom

Cell lengths 3.347, 3.347, 7.285 Å; angles 90.00, 90.00, 90.00 degrees
Element x y z (fractional)
Nd1 0.000 0.000 0.246
Nd2 0.000 0.000 0.754
H1 0.500 0.500 0.500
Os1 0.500 0.500 0.000

Record 3
Material: Nd4P3H
Method: DFT, GGA-PBE
State: relaxed

Calculated values
* Fermi-level density of states: 4.330 states/eV/f.u.

Cell lengths 4.113, 11.526, 8.211 Å; angles 90.00, 90.00, 90.00 degrees
Element x y z (fractional)
Nd1 0.000 0.000 0.000
Nd2 0.000 0.000 0.483
Nd3 0.000 0.500 0.500
Nd4 0.000 0.500 0.983
Nd5 0.500 0.249 0.241
Nd6 0.500 0.251 0.741
Nd7 0.500 0.749 0.741
Nd8 0.500 0.751 0.241
P1 0.000 0.250 0.491
P2 0.000 0.250 0.991
P3 0.000 0.750 0.491
P4 0.000 0.750 0.991
P5 0.500 0.000 0.241
P6 0.500 0.500 0.741
H1 0.500 0.000 0.740
H2 0.500 0.500 0.240

Record 4
Material: Nd3P2H
Method: DFT, GGA-PBE
State: relaxed

Calculated values
* Fermi-level density of states: 2.679 states/eV/f.u.

Cell lengths 7.006, 7.006, 8.203 Å; angles 106.99, 106.99, 48.52 degrees
Element x y z (fractional)
Nd1 0.013 0.987 0.750
Nd2 0.329 0.329 0.414
Nd3 0.329 0.329 0.914
Nd4 0.671 0.671 0.086
Nd5 0.671 0.671 0.586
Nd6 0.987 0.013 0.250
P1 0.167 0.168 0.084
P2 0.168 0.167 0.584
P3 0.832 0.833 0.416
P4 0.833 0.832 0.916
H1 0.473 0.527 0.750
H2 0.527 0.473 0.250

Record 5
Material: Nd12P3H5
Method: DFT, GGA-PBE
State: relaxed

Calculated values
* Fermi-level density of states: 16.123 states/eV/f.u.

Cell lengths 13.479, 13.479, 13.479 Å; angles 109.47, 109.47, 109.47 degrees
Element x y z (fractional)
Nd1 0.028 0.218 0.120
Nd2 0.028 0.311 0.908
Nd3 0.092 0.620 0.402
Nd4 0.092 0.972 0.689
Nd5 0.098 0.718 0.689
Nd6 0.098 0.880 0.408
Nd7 0.120 0.028 0.218
Nd8 0.120 0.592 0.902
Nd9 0.189 0.218 0.598
Nd10 0.189 0.472 0.592
Nd11 0.218 0.120 0.028
Nd12 0.218 0.598 0.189
Nd13 0.282 0.311 0.902
Nd14 0.282 0.472 0.380
Nd15 0.311 0.902 0.282
Nd16 0.311 0.908 0.028
Nd17 0.380 0.282 0.472
Nd18 0.380 0.598 0.908
Nd19 0.402 0.092 0.620
Nd20 0.402 0.811 0.782
Nd21 0.408 0.098 0.880
Nd22 0.408 0.811 0.528
Nd23 0.472 0.380 0.282
Nd24 0.472 0.592 0.189
Nd25 0.528 0.408 0.811
Nd26 0.528 0.620 0.718
Nd27 0.592 0.189 0.472
Nd28 0.592 0.902 0.120
Nd29 0.598 0.189 0.218
Nd30 0.598 0.908 0.380
Nd31 0.620 0.402 0.092
Nd32 0.620 0.718 0.528
Nd33 0.689 0.092 0.972
Nd34 0.689 0.098 0.718
Nd35 0.718 0.528 0.620
Nd36 0.718 0.689 0.098
Nd37 0.782 0.402 0.811
Nd38 0.782 0.880 0.972
Nd39 0.811 0.528 0.408
Nd40 0.811 0.782 0.402
Nd41 0.880 0.408 0.098
Nd42 0.880 0.972 0.782
Nd43 0.902 0.120 0.592
Nd44 0.902 0.282 0.311
Nd45 0.908 0.028 0.311
Nd46 0.908 0.380 0.598
Nd47 0.972 0.689 0.092
Nd48 0.972 0.782 0.880
P1 0.125 0.250 0.375
P2 0.125 0.375 0.750
P3 0.250 0.375 0.125
P4 0.250 0.875 0.625
P5 0.375 0.125 0.250
P6 0.375 0.750 0.125
P7 0.625 0.250 0.875
P8 0.625 0.875 0.750
P9 0.750 0.125 0.375
P10 0.750 0.625 0.875
P11 0.875 0.625 0.250
P12 0.875 0.750 0.625
H1 0.000 0.000 0.000
H2 0.000 0.000 0.500
H3 0.000 0.500 0.000
H4 0.000 0.500 0.500
H5 0.125 0.750 0.875
H6 0.125 0.875 0.250
H7 0.250 0.125 0.875
H8 0.250 0.625 0.375
H9 0.375 0.250 0.625
H10 0.375 0.625 0.750
H11 0.500 0.000 0.000
H12 0.500 0.000 0.500
H13 0.500 0.500 0.000
H14 0.500 0.500 0.500
H15 0.625 0.375 0.250
H16 0.625 0.750 0.375
H17 0.750 0.375 0.625
H18 0.750 0.875 0.125
H19 0.875 0.125 0.750
H20 0.875 0.250 0.125

Record 6
Material: PrNdPH
Method: DFT, GGA-PBE
State: relaxed

Calculated values
* Fermi-level density of states: 2.481 states/eV/f.u.

Cell lengths 13.297, 13.297, 13.297 Å; angles 17.57, 17.57, 17.57 degrees
Element x y z (fractional)
Pr1 0.123 0.123 0.123
Pr2 0.877 0.877 0.877
Nd1 0.291 0.291 0.291
Nd2 0.709 0.709 0.709
P1 0.000 0.000 0.000
P2 0.500 0.500 0.500
H1 0.231 0.231 0.231
H2 0.769 0.769 0.769

Record 7
Material: NdPHPt6
Method: DFT, GGA-PBE
State: relaxed

Calculated values
* Fermi-level density of states: 2.881 states/eV/f.u.

Cell lengths 7.669, 7.669, 7.669 Å; angles 122.55, 119.62, 88.15 degrees
Element x y z (fractional)
Nd1 0.310 0.060 0.250
Nd2 0.690 0.940 0.750
P1 0.000 0.500 0.500
P2 0.500 0.500 0.000
H1 0.000 0.000 0.500
H2 0.000 0.500 0.000
Pt1 0.038 0.788 0.250
Pt2 0.096 0.391 0.229
Pt3 0.096 0.867 0.706
Pt4 0.339 0.133 0.729
Pt5 0.339 0.609 0.206
Pt6 0.368 0.618 0.750
Pt7 0.632 0.382 0.250
Pt8 0.661 0.391 0.794
Pt9 0.661 0.867 0.271
Pt10 0.904 0.133 0.294
Pt11 0.904 0.609 0.771
Pt12 0.962 0.212 0.750

Record 8
Material: NdPH2Ru
Method: DFT, GGA-PBE
State: relaxed

Calculated values
* Fermi-level density of states: 1.062 states/eV/f.u.

Cell lengths 5.568, 5.568, 6.019 Å; angles 90.00, 90.00, 138.85 degrees
Element x y z (fractional)
Nd1 0.213 0.787 0.750
Nd2 0.787 0.213 0.250
P1 0.066 0.934 0.250
P2 0.934 0.066 0.750
H1 0.339 0.661 0.062
H2 0.339 0.661 0.438
H3 0.661 0.339 0.562
H4 0.661 0.339 0.938
Ru1 0.500 0.500 0.000
Ru2 0.500 0.500 0.500

Record 9
Material: NdPHRu
Method: DFT, GGA-PBE
State: relaxed

Calculated values
* Fermi-level density of states: 2.069 states/eV/f.u.

Cell lengths 4.025, 4.025, 7.722 Å; angles 90.00, 90.00, 90.00 degrees
Element x y z (fractional)
Nd1 0.250 0.250 0.171
Nd2 0.750 0.750 0.829
P1 0.250 0.250 0.657
P2 0.750 0.750 0.343
H1 0.250 0.750 0.000
H2 0.750 0.250 0.000
Ru1 0.250 0.750 0.500
Ru2 0.750 0.250 0.500

Record 10
Material: Nd2P2HRu2
Method: DFT, GGA-PBE
State: relaxed

Calculated values
* Fermi-level density of states: 3.541 states/eV/f.u.

Cell lengths 10.788, 4.061, 6.874 Å; angles 90.00, 126.38, 90.00 degrees
Element x y z (fractional)
Nd1 0.059 0.000 0.311
Nd2 0.441 0.500 0.689
Nd3 0.559 0.500 0.311
Nd4 0.941 0.000 0.689
P1 0.190 0.500 0.735
P2 0.310 0.000 0.265
P3 0.690 0.000 0.735
P4 0.810 0.500 0.265
H1 0.000 0.500 0.000
H2 0.500 0.000 0.000
Ru1 0.199 0.500 0.089
Ru2 0.301 0.000 0.911
Ru3 0.699 0.000 0.089
Ru4 0.801 0.500 0.911

Record 11
Material: NdScPH
Method: DFT, GGA-PBE
State: relaxed

Calculated values
* Fermi-level density of states: 0.995 states/eV/f.u.

Cell lengths 4.047, 4.047, 8.594 Å; angles 90.00, 90.00, 90.00 degrees
Element x y z (fractional)
Nd1 0.250 0.250 0.154
Nd2 0.750 0.750 0.846
Sc1 0.250 0.750 0.500
Sc2 0.750 0.250 0.500
P1 0.250 0.250 0.709
P2 0.750 0.750 0.291
H1 0.250 0.750 0.000
H2 0.750 0.250 0.000

Record 12
Material: Nd2Sc4P3H2
Method: DFT, GGA-PBE
State: relaxed

Calculated values
* Fermi-level density of states: 7.284 states/eV/f.u.

Cell lengths 11.413, 11.413, 11.413 Å; angles 158.69, 158.69, 30.32 degrees
Element x y z (fractional)
Nd1 0.199 0.199 0.000
Nd2 0.801 0.801 0.000
Sc1 0.075 0.575 0.500
Sc2 0.425 0.925 0.500
Sc3 0.575 0.075 0.500
Sc4 0.925 0.425 0.500
P1 0.337 0.337 0.000
P2 0.500 0.500 0.000
P3 0.663 0.663 0.000
H1 0.090 0.090 0.000
H2 0.910 0.910 0.000

Record 13
Material: Nd4PHSe2
Method: DFT, GGA-PBE
State: relaxed

Calculated values
* Fermi-level density of states: 3.580 states/eV/f.u.

Cell lengths 7.043, 4.122, 7.211 Å; angles 90.00, 108.82, 90.00 degrees
Element x y z (fractional)
Nd1 0.243 0.000 0.231
Nd2 0.250 0.500 0.761
Nd3 0.750 0.500 0.239
Nd4 0.757 0.000 0.769
P1 0.000 0.500 0.000
H1 0.500 0.000 0.000
Se1 0.000 0.000 0.500
Se2 0.500 0.500 0.500

Record 14
Material: Nd6P2HSe3
Method: DFT, GGA-PBE
State: relaxed

Calculated values
* Fermi-level density of states: 6.052 states/eV/f.u.

Cell lengths 9.296, 9.296, 8.329 Å; angles 104.01, 104.01, 25.85 degrees
Element x y z (fractional)
Nd1 0.003 0.003 0.248
Nd2 0.328 0.328 0.427
Nd3 0.335 0.335 0.905
Nd4 0.665 0.665 0.095
Nd5 0.672 0.672 0.573
Nd6 0.997 0.997 0.752
P1 0.164 0.164 0.330
P2 0.836 0.836 0.670
H1 0.500 0.500 0.000
Se1 0.167 0.167 0.834
Se2 0.500 0.500 0.500
Se3 0.833 0.833 0.166

Record 15
Material: Nd8Te4P3H
Method: DFT, GGA-PBE
State: relaxed

Calculated values
* Fermi-level density of states: 8.077 states/eV/f.u.

Cell lengths 8.756, 8.756, 8.756 Å; angles 57.79, 57.79, 57.79 degrees
Element x y z (fractional)
Nd1 0.232 0.742 0.742
Nd2 0.237 0.237 0.237
Nd3 0.258 0.258 0.768
Nd4 0.258 0.768 0.258
Nd5 0.742 0.232 0.742
Nd6 0.742 0.742 0.232
Nd7 0.763 0.763 0.763
Nd8 0.768 0.258 0.258
Te1 0.000 0.000 0.000
Te2 0.000 0.500 0.500
Te3 0.500 0.000 0.500
Te4 0.500 0.500 0.000
P1 0.000 0.000 0.500
P2 0.000 0.500 0.000
P3 0.500 0.000 0.000
H1 0.500 0.500 0.500

Record 16
Material: Nd3PaH
Method: DFT, GGA-PBE
State: relaxed

Calculated values
* Fermi-level density of states: 7.200 states/eV/f.u.

Cell lengths 5.038, 5.038, 5.038 Å; angles 90.00, 90.00, 90.00 degrees
Element x y z (fractional)
Nd1 0.000 0.000 0.500
Nd2 0.000 0.500 0.000
Nd3 0.500 0.000 0.000
Pa1 0.500 0.500 0.500
H1 0.000 0.000 0.000

Record 17
Material: Nd3HPb2
Method: DFT, GGA-PBE
State: relaxed

Calculated values
* Fermi-level density of states: 3.553 states/eV/f.u.

Cell lengths 6.811, 6.811, 8.953 Å; angles 103.43, 103.43, 57.34 degrees
Element x y z (fractional)
Nd1 0.154 0.846 0.750
Nd2 0.234 0.477 0.346
Nd3 0.477 0.234 0.846
Nd4 0.523 0.766 0.154
Nd5 0.766 0.523 0.654
Nd6 0.846 0.154 0.250
H1 0.495 0.505 0.750
H2 0.505 0.495 0.250
Pb1 0.018 0.272 0.007
Pb2 0.272 0.018 0.507
Pb3 0.728 0.982 0.493
Pb4 0.982 0.728 0.993

Record 18
Material: Nd2HPb2
Method: DFT, GGA-PBE
State: relaxed

Calculated values
* Fermi-level density of states: 2.249 states/eV/f.u.

Cell lengths 8.181, 8.181, 8.353 Å; angles 90.00, 90.00, 149.99 degrees
Element x y z (fractional)
Nd1 0.039 0.961 0.500
Nd2 0.346 0.654 0.343
Nd3 0.654 0.346 0.843
Nd4 0.961 0.039 0.000
H1 0.084 0.916 0.806
H2 0.916 0.084 0.306
Pb1 0.299 0.701 0.968
Pb2 0.429 0.571 0.702
Pb3 0.571 0.429 0.202
Pb4 0.701 0.299 0.468

Record 19
Material: Nd5HPb2
Method: DFT, GGA-PBE
State: relaxed

Calculated values
* Fermi-level density of states: 7.978 states/eV/f.u.

Cell lengths 7.187, 7.187, 9.227 Å; angles 90.00, 90.00, 90.00 degrees
Element x y z (fractional)
Nd1 0.000 0.000 0.000
Nd2 0.249 0.249 0.246
Nd3 0.249 0.751 0.246
Nd4 0.251 0.251 0.746
Nd5 0.251 0.749 0.746
Nd6 0.500 0.500 0.500
Nd7 0.749 0.251 0.746
Nd8 0.749 0.749 0.746
Nd9 0.751 0.249 0.246
Nd10 0.751 0.751 0.246
H1 0.000 0.000 0.257
H2 0.500 0.500 0.757
Pb1 0.000 0.500 0.497
Pb2 0.000 0.500 0.997
Pb3 0.500 0.000 0.497
Pb4 0.500 0.000 0.997

Computed values of VASP energy (unit: eV/f.u.) for the preceding records, in sequence: -34.8; -24.3; -48.6; -35.2; -100.7; -22.2; -53.6; -29.4; -26.6; -48.3; -23.9; -68.5; -45.8; -71.2; -92.0; -26.9; -27.9; -22.3; -37.0.